Compound: CaNbRh
Source: the Alexandria database
Functional: PBE-GGA
Structure: relaxed

Structure (POSCAR):
```
CaNbRh
1.0
3.310 0.000 0.000
0.000 3.310 0.000
0.000 0.000 12.147
Nb Ca Rh
2 2 2
Direct
0.500 0.500 0.383
0.500 0.500 0.626
0.000 0.000 0.187
0.500 0.500 0.903
0.000 0.000 0.739
0.000 0.000 0.490
```

Results
Calculated total energy: -6.550 eV/atom
Space group: P4mm (99)
Size of the total moment: 0.000 μB per atom
Energy relative to the elements: -0.0755 eV/atom
Crystal system: tetragonal